Record 1
This record from Alexandria describes TaPNCl7 after structural relaxation. The functional is PBEsol.

Cell and atoms, written as POSCAR:
```
TaPNCl7
1.0
6.665 0.000 0.000
0.000 11.157 0.000
-3.883 0.000 14.715
Ta P N Cl
4 4 4 28
direct
0.016 0.081 0.119 Ta
0.016 0.419 0.619 Ta
0.984 0.581 0.381 Ta
0.984 0.919 0.881 Ta
0.378 0.069 0.317 P
0.378 0.431 0.817 P
0.622 0.569 0.183 P
0.622 0.931 0.683 P
0.229 0.106 0.225 N
0.229 0.394 0.725 N
0.771 0.606 0.275 N
0.771 0.894 0.775 N
0.075 0.107 0.838 Cl
0.075 0.393 0.338 Cl
0.076 0.247 0.542 Cl
0.076 0.253 0.042 Cl
0.231 0.502 0.903 Cl
0.231 0.998 0.403 Cl
0.246 0.524 0.539 Cl
0.246 0.976 0.039 Cl
0.264 0.669 0.345 Cl
0.264 0.831 0.845 Cl
0.415 0.053 0.696 Cl
0.415 0.447 0.196 Cl
0.458 0.704 0.117 Cl
0.458 0.796 0.617 Cl
0.542 0.204 0.383 Cl
0.542 0.296 0.883 Cl
0.585 0.553 0.804 Cl
0.585 0.947 0.304 Cl
0.736 0.169 0.155 Cl
0.736 0.331 0.655 Cl
0.754 0.024 0.961 Cl
0.754 0.476 0.461 Cl
0.769 0.002 0.597 Cl
0.769 0.498 0.097 Cl
0.924 0.747 0.958 Cl
0.924 0.753 0.458 Cl
0.925 0.607 0.662 Cl
0.925 0.893 0.162 Cl
```

Values from the calculation:
Its energy relative to the elements, uncorrected is -1004 meV/atom.


Record 2
This record from Alexandria describes TaP2NCl12 after structural relaxation. The functional is PBEsol.

Cell and atoms, written as POSCAR:
```
TaP2NCl12
1.0
6.793 -4.419 0.000
6.793 4.419 0.000
-3.821 0.000 14.696
Ta P N Cl
2 4 2 24
direct
0.000 0.000 0.000 Ta
0.000 0.000 0.500 Ta
0.322 0.453 0.725 P
0.453 0.322 0.225 P
0.547 0.678 0.775 P
0.678 0.547 0.275 P
0.380 0.620 0.750 N
0.620 0.380 0.250 N
0.047 0.113 0.155 Cl
0.092 0.511 0.642 Cl
0.102 0.208 0.962 Cl
0.113 0.047 0.655 Cl
0.208 0.102 0.462 Cl
0.218 0.700 0.487 Cl
0.231 0.502 0.167 Cl
0.277 0.386 0.833 Cl
0.300 0.782 0.013 Cl
0.386 0.277 0.333 Cl
0.489 0.908 0.858 Cl
0.498 0.769 0.333 Cl
0.502 0.231 0.667 Cl
0.511 0.092 0.142 Cl
0.614 0.723 0.667 Cl
0.700 0.218 0.987 Cl
0.723 0.614 0.167 Cl
0.769 0.498 0.833 Cl
0.782 0.300 0.513 Cl
0.792 0.898 0.538 Cl
0.887 0.953 0.345 Cl
0.898 0.792 0.038 Cl
0.908 0.489 0.358 Cl
0.953 0.887 0.845 Cl
```

Values from the calculation:
Its energy relative to the elements, uncorrected is -918 meV/atom.


Record 3
This record from Alexandria describes TaP2NCl after structural relaxation. The functional is PBEsol.

Cell and atoms, written as POSCAR:
```
TaP2NCl
1.0
3.855 0.000 0.000
0.000 3.855 0.000
0.000 0.000 4.419
Ta P N Cl
1 2 1 1
direct
0.000 0.000 0.000 Ta
0.000 0.500 0.500 P
0.500 0.000 0.500 P
0.500 0.500 0.500 N
0.500 0.500 0.000 Cl
```

Values from the calculation:
Its energy relative to the elements, uncorrected is 736 meV/atom.


Record 4
This record from Alexandria describes TeP2NCl after structural relaxation. The functional is PBEsol.

Cell and atoms, written as POSCAR:
```
TeP2NCl
1.0
5.126 0.000 0.000
0.000 5.126 0.000
0.000 0.000 5.400
Te P N Cl
1 2 1 1
direct
0.000 0.000 0.000 Te
0.000 0.500 0.000 P
0.500 0.000 0.000 P
0.500 0.500 0.500 N
0.000 0.000 0.500 Cl
```

Values from the calculation:
Its energy relative to the elements, uncorrected is 1900 meV/atom.


Record 5
This record from Alexandria describes P2WNCl after structural relaxation. The functional is PBEsol.

Cell and atoms, written as POSCAR:
```
P2WNCl
1.0
4.628 0.000 0.000
0.000 4.628 0.000
0.000 0.000 4.851
P W N Cl
2 1 1 1
direct
0.000 0.500 0.000 P
0.500 0.000 0.000 P
0.000 0.000 0.000 W
0.500 0.500 0.500 N
0.000 0.000 0.500 Cl
```

Values from the calculation:
Its energy relative to the elements, uncorrected is 1293 meV/atom.


Record 6
This record from Alexandria describes PWNCl2 after structural relaxation. The functional is PBEsol.

Cell and atoms, written as POSCAR:
```
PWNCl2
1.0
4.083 0.000 0.000
0.000 4.083 0.000
0.000 0.000 4.114
P W N Cl
1 1 1 2
direct
0.000 0.000 0.000 P
0.500 0.500 0.000 W
0.000 0.000 0.500 N
0.000 0.500 0.500 Cl
0.500 0.000 0.500 Cl
```

Values from the calculation:
Its energy relative to the elements, uncorrected is 1524 meV/atom.


Record 7
This record from Alexandria describes Zn3P6N12Cl after structural relaxation. The functional is PBEsol.

Cell and atoms, written as POSCAR:
```
Zn3P6N12Cl
1.0
5.809 3.354 2.386
-5.809 3.354 2.386
0.000 -6.708 2.386
Zn P N Cl
3 6 12 1
direct
0.214 0.214 0.572 Zn
0.214 0.572 0.214 Zn
0.572 0.214 0.214 Zn
0.465 0.711 0.960 P
0.465 0.960 0.711 P
0.711 0.465 0.960 P
0.711 0.960 0.465 P
0.960 0.465 0.711 P
0.960 0.711 0.465 P
0.211 0.485 0.764 N
0.211 0.764 0.485 N
0.485 0.211 0.764 N
0.485 0.764 0.211 N
0.486 0.939 0.939 N
0.656 0.656 0.930 N
0.656 0.930 0.656 N
0.764 0.211 0.485 N
0.764 0.485 0.211 N
0.930 0.656 0.656 N
0.939 0.486 0.939 N
0.939 0.939 0.486 N
0.259 0.259 0.259 Cl
```

Values from the calculation:
Its energy relative to the elements, uncorrected is -544 meV/atom.


Record 8
This record from Alexandria describes ZrP2NCl after structural relaxation. The functional is PBEsol.

Cell and atoms, written as POSCAR:
```
ZrP2NCl
1.0
5.028 0.000 0.000
0.000 5.028 0.000
0.000 0.000 4.973
Zr P N Cl
1 2 1 1
direct
0.000 0.000 0.000 Zr
0.000 0.500 0.000 P
0.500 0.000 0.000 P
0.500 0.500 0.500 N
0.000 0.000 0.500 Cl
```

Values from the calculation:
Its energy relative to the elements, uncorrected is 1012 meV/atom.


Record 9
This record from Alexandria describes PbSNCl2 after structural relaxation. The functional is PBEsol.

Cell and atoms, written as POSCAR:
```
PbSNCl2
1.0
5.360 0.000 0.000
0.000 5.360 0.000
0.000 0.000 5.208
Pb S N Cl
1 1 1 2
direct
0.000 0.000 0.000 Pb
0.000 0.000 0.500 S
0.500 0.500 0.500 N
0.000 0.500 0.000 Cl
0.500 0.000 0.000 Cl
```

Values from the calculation:
Its energy relative to the elements, uncorrected is 966 meV/atom.


Record 10
This record from Alexandria describes PbSeN2Cl after structural relaxation. The functional is PBEsol.

Cell and atoms, written as POSCAR:
```
PbSeN2Cl
1.0
4.197 0.000 0.000
0.000 4.197 0.000
0.000 0.000 4.817
Pb Se N Cl
1 1 2 1
direct
0.000 0.000 0.000 Pb
0.500 0.500 0.000 Se
0.000 0.500 0.500 N
0.500 0.000 0.500 N
0.500 0.500 0.500 Cl
```

Values from the calculation:
Its energy relative to the elements, uncorrected is 1757 meV/atom.


Record 11
This record from Alexandria describes PbSeNCl2 after structural relaxation. The functional is PBEsol.

Cell and atoms, written as POSCAR:
```
PbSeNCl2
1.0
4.527 0.000 0.000
0.000 4.527 0.000
0.000 0.000 4.489
Pb Se N Cl
1 1 1 2
direct
0.000 0.000 0.000 Pb
0.500 0.500 0.000 Se
0.500 0.500 0.500 N
0.000 0.500 0.500 Cl
0.500 0.000 0.500 Cl
```

Values from the calculation:
Its energy relative to the elements, uncorrected is 351 meV/atom.


Record 12
This record from Alexandria describes Pd3NCl after structural relaxation. The functional is PBEsol.

Cell and atoms, written as POSCAR:
```
Pd3NCl
1.0
4.136 0.000 0.000
0.000 4.136 0.000
0.000 0.000 4.136
Pd N Cl
3 1 1
direct
0.000 0.000 0.500 Pd
0.000 0.500 0.000 Pd
0.500 0.000 0.000 Pd
0.000 0.000 0.000 N
0.500 0.500 0.500 Cl
```

Values from the calculation:
Its energy relative to the elements, uncorrected is 303 meV/atom.